<a>
This record from Alexandria describes a relaxed CsBa3N crystal. The functional is PBE-GGA.

Properties
Volume   217.9 Å³ per cell

a b c (Å): 6.017 6.017 6.017
angles (deg): 90.00 90.00 90.00
Sites, in units of the cell vectors:
Cs 0.000 0.000 0.000
Ba 0.000 0.500 0.500
Ba 0.500 0.000 0.500
Ba 0.500 0.500 0.000
N 0.500 0.500 0.500



<b>
This record from Alexandria describes a relaxed CsBa3N crystal. The functional is PBE-GGA.

Properties
Volume   253.3 Å³ per cell

a b c (Å): 6.327 6.327 6.327
angles (deg): 90.00 90.00 90.00
Sites, in units of the cell vectors:
Cs 0.000 0.000 0.000
Ba 0.000 0.000 0.500
Ba 0.000 0.500 0.000
Ba 0.500 0.000 0.000
N 0.500 0.500 0.500



Most stable: <a> (next structure +1673 meV/atom)



<a>
This record from Alexandria describes a relaxed CsBaS2N crystal. The functional is PBE-GGA.

Properties
Volume   200.9 Å³ per cell

a b c (Å): 6.056 6.056 5.477
angles (deg): 90.00 90.00 90.00
Sites, in units of the cell vectors:
Cs 0.000 0.000 0.000
Ba 0.500 0.500 0.500
S 0.000 0.500 0.500
S 0.500 0.000 0.500
N 0.500 0.500 0.000



<b>
This record from Alexandria describes a relaxed CsBaS2N crystal. The functional is PBE-GGA.

Properties
Volume   151.6 Å³ per cell

a b c (Å): 5.762 5.762 4.566
angles (deg): 90.00 90.00 90.00
Sites, in units of the cell vectors:
Cs 0.000 0.000 0.000
Ba 0.500 0.500 0.500
S 0.000 0.500 0.000
S 0.500 0.000 0.000
N 0.000 0.000 0.500



Most stable: <a> (next structure +428 meV/atom)



<a>
This record from Alexandria describes a relaxed CsBaTeN2 crystal. The functional is PBE-GGA.

Properties
Volume   208.8 Å³ per cell

a b c (Å): 5.499 5.499 6.905
angles (deg): 90.00 90.00 90.00
Sites, in units of the cell vectors:
Cs 0.000 0.000 0.000
Ba 0.500 0.500 0.500
Te 0.500 0.500 0.000
N 0.000 0.500 0.500
N 0.500 0.000 0.500



<b>
This record from Alexandria describes a relaxed CsBaTeN2 crystal. The functional is PBE-GGA.

Properties
Volume   182.9 Å³ per cell

a b c (Å): 4.979 4.979 7.378
angles (deg): 90.00 90.00 90.00
Sites, in units of the cell vectors:
Cs 0.000 0.000 0.000
Ba 0.500 0.500 0.500
Te 0.000 0.000 0.500
N 0.000 0.500 0.000
N 0.500 0.000 0.000



Most stable: <a> (next structure +448 meV/atom)



<a>
This record from Alexandria describes a relaxed Cs2BaNa crystal. The functional is PBE-GGA.

Properties
Volume   1271.3 Å³ per cell

a b c (Å): 10.833 10.833 10.833
angles (deg): 90.00 90.00 90.00
Sites, in units of the cell vectors:
Cs 0.250 0.250 0.250
Cs 0.250 0.250 0.750
Cs 0.250 0.750 0.250
Cs 0.250 0.750 0.750
Cs 0.750 0.250 0.250
Cs 0.750 0.250 0.750
Cs 0.750 0.750 0.250
Cs 0.750 0.750 0.750
Ba 0.000 0.000 0.000
Ba 0.000 0.500 0.500
Ba 0.500 0.000 0.500
Ba 0.500 0.500 0.000
Na 0.000 0.000 0.500
Na 0.000 0.500 0.000
Na 0.500 0.000 0.000
Na 0.500 0.500 0.500



<b>
This record from Alexandria describes a relaxed Cs2BaNa crystal. The functional is PBE-GGA.

Properties
Volume   301.2 Å³ per cell

a b c (Å): 6.418 6.418 7.312
angles (deg): 90.00 90.00 90.00
Sites, in units of the cell vectors:
Cs 0.000 0.500 0.000
Cs 0.500 0.000 0.000
Ba 0.000 0.000 0.500
Na 0.500 0.500 0.500



Most stable: <b> (next structure +55 meV/atom)



<a>
This record from Alexandria describes a relaxed CsBaNa2 crystal. The functional is PBE-GGA.

Properties
Volume   729.1 Å³ per cell

a b c (Å): 4.575 4.575 40.228
angles (deg): 90.00 90.00 120.00
Sites, in units of the cell vectors:
Cs 0.000 0.000 0.000
Cs 0.333 0.667 0.667
Cs 0.667 0.333 0.333
Ba 0.000 0.000 0.500
Ba 0.333 0.667 0.167
Ba 0.667 0.333 0.833
Na 0.000 0.000 0.244
Na 0.000 0.000 0.756
Na 0.333 0.667 0.422
Na 0.333 0.667 0.911
Na 0.667 0.333 0.089
Na 0.667 0.333 0.578



<b>
This record from Alexandria describes a relaxed CsBaNa2 crystal. The functional is PBE-GGA.

Properties
Volume   238.8 Å³ per cell

a b c (Å): 4.784 4.784 10.433
angles (deg): 90.00 90.00 90.00
Sites, in units of the cell vectors:
Cs 0.000 0.000 0.000
Ba 0.000 0.000 0.500
Na 0.500 0.500 0.282
Na 0.500 0.500 0.718



Most stable: <b> (next structure +73 meV/atom)



<a>
This record from Alexandria describes a relaxed CsBa2NaPd crystal. The functional is PBE-GGA.

Properties
Volume   258.6 Å³ per cell

a b c (Å): 6.264 6.264 6.591
angles (deg): 90.00 90.00 90.00
Sites, in units of the cell vectors:
Cs 0.000 0.000 0.000
Ba 0.000 0.500 0.500
Ba 0.500 0.000 0.500
Na 0.500 0.500 0.000
Pd 0.500 0.500 0.500



<b>
This record from Alexandria describes a relaxed CsBa2NaPd crystal. The functional is PBE-GGA.

Properties
Volume   277.9 Å³ per cell

a b c (Å): 6.290 6.290 7.023
angles (deg): 90.00 90.00 90.00
Sites, in units of the cell vectors:
Cs 0.000 0.000 0.000
Ba 0.000 0.500 0.500
Ba 0.500 0.000 0.500
Na 0.500 0.500 0.000
Pd 0.000 0.000 0.500



Most stable: <a> (next structure +7 meV/atom)